A plane-wave DFT calculation with PBE-GGA was carried out for Y2Zn2Bi after structural relaxation.

Computed properties:
**E above lowest polymorph**: 0.366 eV/atom
**ΔH_f (0 K)**: -98 meV/atom
**Energy**: -3.97 eV per atom
**SG**: I4/mmm

a = 4.9907 Å, b = 4.9907 Å, c = 10.7584 Å
α = 90.00°, β = 90.00°, γ = 90.00°
Fractional positions:
Y: 0.0000 0.5000 0.2500
Y: 0.0000 0.5000 0.7500
Y: 0.5000 0.0000 0.2500
Y: 0.5000 0.0000 0.7500
Zn: 0.0000 0.0000 0.1091
Zn: 0.0000 0.0000 0.8909
Zn: 0.5000 0.5000 0.3909
Zn: 0.5000 0.5000 0.6091
Bi: 0.0000 0.0000 0.5000
Bi: 0.5000 0.5000 0.0000